(1)
La3Tb6Ho2Tm | GGA-PBE | optimized geometry

Geometry as POSCAR:
```
La3Tb6Ho2Tm
1.0
3.114 -5.397 0.000
3.114 5.397 0.000
-2.082 0.000 11.731
La Tb Ho Tm
3 6 2 1
Cartesian
0.000 0.000 0.000
3.114 1.801 0.000
3.114 -1.801 0.000
1.039 1.798 3.011
-0.004 0.000 8.721
1.039 -1.798 3.011
3.108 1.798 8.720
4.151 0.000 3.010
3.108 -1.798 8.720
2.074 3.599 5.866
2.074 -3.599 5.866
2.074 0.000 5.866
```


(2)
LaTb6Ho2Tm | GGA-PBE | optimized geometry

Geometry as POSCAR:
```
LaTb6Ho2Tm
1.0
4.593 -7.527 0.000
4.593 7.527 0.000
-0.938 0.000 9.432
La Tb Ho Tm
2 12 4 2
Cartesian
3.890 7.074 7.074
4.359 -7.074 2.358
1.980 4.119 6.441
3.979 4.745 0.539
4.738 4.745 4.177
2.866 1.669 8.341
5.799 4.119 7.707
4.914 1.669 5.807
3.335 -1.669 3.625
2.449 -4.119 1.725
5.383 -1.669 1.091
3.510 -4.745 5.255
4.269 -4.745 8.893
6.269 -4.119 2.991
1.825 0.793 5.188
2.294 -0.793 0.472
5.954 0.793 8.960
6.423 -0.793 4.244
4.359 1.337 2.358
3.890 -1.337 7.074
```


Let's list energy of formation in order: 0.023; 0.120 eV per atom.
Let's list total moment in order: 0.0; 0.0 μB per formula unit.